[1]
Density functional theory data (PBE) for an optimized crystal structure of La8Rh2Au.

```
11
Lattice="4.2120 -6.6849 0.0000 4.2120 6.6849 0.0000 -2.0565 0.0000 6.2220" Properties=species:S:1:pos:R:3 pbc="T T T"
La 0.0000 0.0000 0.0000
La 0.0420 1.7932 3.6271
La 2.8107 2.8570 1.2877
La 0.0420 -1.7932 3.6271
La 3.2693 1.8526 5.1271
La 2.8107 -2.8570 1.2877
La 5.2768 0.0000 2.4454
La 3.2693 -1.8526 5.1271
Rh 1.6241 4.1842 4.2909
Rh 1.6241 -4.1842 4.2909
Au 0.9844 0.0000 6.2043
```

Space group = Cm
Crystal system = monoclinic
Theoretical density = 7.18 g/cm3

***

[2]
Density functional theory data (PBE) for an optimized crystal structure of La4Rh3Au.

```
8
Lattice="4.0057 0.0000 0.0000 0.0000 4.5156 0.0000 0.0000 0.0000 10.9925" Properties=species:S:1:pos:R:3 pbc="T T T"
La 0.0000 0.0000 0.0000
La 0.0000 2.2578 2.8925
La 2.0029 0.0000 5.2417
La 2.0029 2.2578 8.4451
Rh 0.0000 2.2578 5.8562
Rh 2.0029 0.0000 2.3833
Rh 2.0029 2.2578 0.2811
Au 0.0000 0.0000 7.7600
```

Space group = Pmm2
Crystal system = orthorhombic
Theoretical density = 8.86 g/cm3

***

Values for ΔE_f, kJ/mol of atoms, ordered as above
-35.48; -74.52
Values for volume, Å³/atom, ordered as above
31.85; 24.85
Values for magnetization, μB/f.u., ordered as above
0.00; 0.00